1.
Below is a relaxed MgTlF3 crystal, with properties calculated at the GGA-PBE level.

Computed properties:
The space group is Fd-3m (227). Its total energy is -4.70 eV/atom.

Cell lengths 7.639, 7.639, 7.639 Å; angles 60.00, 60.00, 60.00 degrees
Atoms (fractional coordinates):
Mg (0.125, 0.125, 0.625)
F (0.810, 0.810, 0.190)
Tl (0.625, 0.625, 0.125)
F (0.190, 0.810, 0.190)
F (0.060, 0.440, 0.060)
F (0.810, 0.190, 0.190)
Mg (0.625, 0.125, 0.125)
F (0.440, 0.060, 0.440)
F (0.190, 0.810, 0.810)
F (0.440, 0.060, 0.060)
F (0.060, 0.060, 0.440)
Mg (0.125, 0.625, 0.125)
Mg (0.125, 0.125, 0.125)
Tl (0.625, 0.625, 0.625)
F (0.190, 0.190, 0.810)
Tl (0.125, 0.625, 0.625)
F (0.440, 0.440, 0.060)
Tl (0.625, 0.125, 0.625)
F (0.810, 0.190, 0.810)
F (0.060, 0.440, 0.440)

***

2.
Below is a relaxed PaTiMn2S8 crystal, with properties calculated at the GGA-PBE level.

Computed properties:
The space group is I-4m2 (119). Its total energy is -6.51 eV/atom.

Cell lengths 7.022, 7.022, 7.022 Å; angles 105.92, 105.92, 116.83 degrees
Last column: magnetic moment on the atom in μB.
Atoms (fractional coordinates):
S (0.500, 0.694, 0.806)  -0.04
S (0.306, 0.500, 0.194)  -0.04
Mn (0.750, 0.250, 0.500)  3.22
S (0.710, 0.031, 0.679)  -0.04
S (0.889, 0.694, 0.194)  -0.04
S (0.969, 0.290, 0.321)  -0.04
Pa (0.000, 0.000, 0.000)  0.41
Ti (0.250, 0.750, 0.500)  0.33
S (0.306, 0.111, 0.806)  -0.04
S (0.969, 0.648, 0.679)  -0.04
Mn (0.500, 0.500, 0.000)  2.77
S (0.352, 0.031, 0.321)  -0.04

***

3.
Below is a relaxed NaPm2Au4 crystal, with properties calculated at the GGA-PBE level.

Computed properties:
The space group is R-3m (166). Its total energy is -3.96 eV/atom. The formation energy from the elements is -0.541 eV/atom.

Cell lengths 4.944, 4.944, 8.835 Å; angles 73.75, 73.75, 60.00 degrees
Atoms (fractional coordinates):
Pm (0.247, 0.247, 0.260)
Na (0.000, 0.000, 0.000)
Pm (0.753, 0.753, 0.740)
Au (0.873, 0.873, 0.380)
Au (0.371, 0.371, 0.888)
Au (0.127, 0.127, 0.620)
Au (0.629, 0.629, 0.112)

***

4.
Below is a relaxed Cs2HgOsCl6 crystal, with properties calculated at the GGA-PBE level.

Computed properties:
The space group is Fm-3m (225). Its total energy is -3.46 eV/atom.

Cell lengths 7.919, 7.919, 7.918 Å; angles 60.00, 60.00, 90.00 degrees
Last column: magnetic moment on the atom in μB.
Atoms (fractional coordinates):
Os (0.500, 0.500, 0.000)  1.44
Cl (0.289, 0.289, 0.000)  0.05
Cl (0.711, 0.711, 0.000)  0.05
Cs (0.750, 0.250, 0.500)  0.00
Cl (0.290, 0.290, 0.421)  0.05
Cl (0.289, 0.711, 0.000)  0.05
Hg (0.000, 0.000, 0.000)  -0.01
Cs (0.250, 0.750, 0.500)  0.00
Cl (0.710, 0.710, 0.579)  0.05
Cl (0.711, 0.289, 0.000)  0.05